Below is an optimized crystal structure of NbBTeF2, with properties calculated at the GGA-PBE level.

a = 4.2196 Å, b = 4.8667 Å, c = 4.2196 Å
α = 90.00°, β = 90.00°, γ = 90.00°
With the nearest neighbours (Å) after each atom.
Fractional positions:
F 0.0000 0.0000 0.5000  2 Te 2.11
F 0.5000 0.0000 0.0000  2 Te 2.11
Nb 0.5000 0.5000 0.5000  4 B 2.98, 8 F 3.22
B 0.0000 0.5000 0.0000  2 Te 2.43
Te 0.0000 0.0000 0.0000  4 F 2.11

ΔE_f (raw): 0.430 eV/atom
total moment: 2.26 μB/cell